<a>
Material: NdPd2O4
Method: DFT, PBE
State: optimized geometry

Output
* density: 7.7 g/cm³
* volume: 181.24 Å³ per cell

a b c (Å): 6.6356 6.6356 6.6356
angles (deg): 126.83 126.83 78.54
Closest atoms and distances in Å follow each position.
Element x y z (fractional)
Nd (0.3750, 0.1250, 0.2500)  8 O 2.44-2.53
Nd (0.6250, 0.8750, 0.7500)  8 O 2.44-2.53
Pd (0.0000, 0.0000, 0.5000)  4 O 2.03-2.04
Pd (0.0000, 0.5000, 0.0000)  4 O 2.03-2.04
Pd (0.0000, 0.5000, 0.5000)  4 O 2.03-2.04
Pd (0.5000, 0.5000, 0.0000)  4 O 2.03-2.04
O (0.0238, 0.7267, 0.8986)  2 Pd 2.03-2.04
O (0.2267, 0.8281, 0.7030)  2 Pd 2.03-2.04
O (0.3281, 0.1251, 0.6014)  2 Pd 2.03-2.04
O (0.3749, 0.4762, 0.2030)  2 Pd 2.03-2.04
O (0.6251, 0.5238, 0.7970)  2 Pd 2.03-2.04
O (0.6719, 0.8749, 0.3986)  2 Pd 2.03-2.04
O (0.7733, 0.1719, 0.2970)  2 Pd 2.03-2.04
O (0.9762, 0.2733, 0.1014)  2 Pd 2.03-2.04

---

<b>
Material: NdPd2O4
Method: DFT, PBE
State: optimized geometry

Output
* density: 7.2 g/cm³
* volume: 194.43 Å³ per cell

a b c (Å): 7.7480 6.7778 5.9751
angles (deg): 74.53 57.47 48.01
Closest atoms and distances in Å follow each position.
Element x y z (fractional)
Nd (0.1250, 0.1250, 0.1250)  8 O 2.43-2.62
Nd (0.8750, 0.8750, 0.8750)  8 O 2.43-2.62
Pd (0.0000, 0.5000, 0.5000)  4 O 2.03-2.06
Pd (0.5000, 0.0000, 0.5000)  4 O 2.03-2.06
Pd (0.5000, 0.5000, 0.0000)  4 O 2.03-2.06
Pd (0.5000, 0.5000, 0.5000)  4 O 2.03-2.06
O (0.1586, 0.3640, 0.7411)  2 Pd 2.03-2.06
O (0.2363, 0.7411, 0.3640)  2 Pd 2.03-2.06
O (0.2589, 0.7637, 0.8414)  2 Pd 2.03-2.06
O (0.3640, 0.1586, 0.2363)  2 Pd 2.03-2.06
O (0.6360, 0.8414, 0.7637)  2 Pd 2.03-2.06
O (0.7411, 0.2363, 0.1586)  2 Pd 2.03-2.06
O (0.7637, 0.2589, 0.6360)  2 Pd 2.03-2.06
O (0.8414, 0.6360, 0.2589)  2 Pd 2.03-2.06

---

So which one is most stable? That would be <a>, about 189 meV per atom below the next structure.

---

<a>
Material: Pm3NdO6
Method: DFT, PBE
State: optimized geometry

Output
* density: 6.9 g/cm³
* volume: 324.04 Å³ per cell

a b c (Å): 5.9291 6.1696 10.6541
angles (deg): 90.00 123.75 90.00
Closest atoms and distances in Å follow each position.
Element x y z (fractional)
Pm (0.0000, 0.0000, 0.0000)  6 O 2.31-2.45
Pm (0.0000, 0.5000, 0.5000)  6 O 2.31-2.45
Pm (0.2337, 0.0464, 0.7504)  4 O 2.28-2.47
Pm (0.2337, 0.4536, 0.2504)  4 O 2.28-2.47
Pm (0.7663, 0.5464, 0.7496)  4 O 2.28-2.47
Pm (0.7663, 0.9536, 0.2496)  4 O 2.28-2.47
Nd (0.5000, 0.0000, 0.5000)  6 O 2.33-2.47
Nd (0.5000, 0.5000, 0.0000)  6 O 2.33-2.47
O (0.0984, 0.1870, 0.4166)  2 Pm 2.29-2.33, 1 Nd 2.33
O (0.0984, 0.3130, 0.9166)  2 Pm 2.29-2.33, 1 Nd 2.33
O (0.2340, 0.6847, 0.4180)  2 Pm 2.28-2.31, 1 Nd 2.35
O (0.2340, 0.8153, 0.9180)  2 Pm 2.28-2.31, 1 Nd 2.35
O (0.4031, 0.0879, 0.2485)  3 Pm 2.30-2.47, 1 Nd 2.47
O (0.4031, 0.4121, 0.7485)  3 Pm 2.30-2.47, 1 Nd 2.47
O (0.5969, 0.5879, 0.2515)  3 Pm 2.30-2.47, 1 Nd 2.47
O (0.5969, 0.9121, 0.7515)  3 Pm 2.30-2.47, 1 Nd 2.47
O (0.7660, 0.1847, 0.0820)  2 Pm 2.28-2.31, 1 Nd 2.35
O (0.7660, 0.3153, 0.5820)  2 Pm 2.28-2.31, 1 Nd 2.35
O (0.9016, 0.6870, 0.0834)  2 Pm 2.29-2.33, 1 Nd 2.33
O (0.9016, 0.8130, 0.5834)  2 Pm 2.29-2.33, 1 Nd 2.33

---

<b>
Material: Pm3NdO6
Method: DFT, PBE
State: optimized geometry

Output
* density: 6.5 g/cm³
* volume: 342.99 Å³ per cell

a b c (Å): 7.0022 7.0022 7.0022
angles (deg): 91.45 91.45 91.45
Closest atoms and distances in Å follow each position.
Element x y z (fractional)
Pm (0.0535, 0.7514, 0.5611)  6 O 2.31-2.47
Pm (0.2486, 0.4389, 0.9465)  6 O 2.31-2.47
Pm (0.4389, 0.9465, 0.2486)  6 O 2.31-2.47
Pm (0.5611, 0.0535, 0.7514)  6 O 2.31-2.47
Pm (0.7514, 0.5611, 0.0535)  6 O 2.31-2.47
Pm (0.9465, 0.2486, 0.4389)  6 O 2.31-2.47
Nd (0.0000, 0.0000, 0.0000)  6 O 2.35
Nd (0.5000, 0.5000, 0.5000)  6 O 2.39
O (0.0268, 0.6800, 0.8957)  3 Pm 2.35-2.42, 1 Nd 2.35
O (0.1043, 0.9732, 0.3200)  3 Pm 2.35-2.42, 1 Nd 2.35
O (0.1824, 0.4307, 0.5985)  3 Pm 2.31-2.47, 1 Nd 2.39
O (0.3200, 0.1043, 0.9732)  3 Pm 2.35-2.42, 1 Nd 2.35
O (0.4015, 0.8176, 0.5693)  3 Pm 2.31-2.47, 1 Nd 2.39
O (0.4307, 0.5985, 0.1824)  3 Pm 2.31-2.47, 1 Nd 2.39
O (0.5693, 0.4015, 0.8176)  3 Pm 2.31-2.47, 1 Nd 2.39
O (0.5985, 0.1824, 0.4307)  3 Pm 2.31-2.47, 1 Nd 2.39
O (0.6800, 0.8957, 0.0268)  3 Pm 2.35-2.42, 1 Nd 2.35
O (0.8176, 0.5693, 0.4015)  3 Pm 2.31-2.47, 1 Nd 2.39
O (0.8957, 0.0268, 0.6800)  3 Pm 2.35-2.42, 1 Nd 2.35
O (0.9732, 0.3200, 0.1043)  3 Pm 2.35-2.42, 1 Nd 2.35

---

So which one is most stable? That would be <b>, about 83 meV per atom below the next structure.